Record 1
The following is a GGA-PBEsol calculation of ScS3I after structural relaxation, from the Alexandria database.

## Properties
Formation energy without anion corrections = 380 meV per atom
E = -19.625 eV/cell

Cell lengths 4.9990, 4.9990, 4.9990 Å; angles 90.00, 90.00, 90.00 degrees
With the nearest neighbours (Å) after each atom.
Space group Pm-3m (No. 221)
Symmetry-distinct sites (fractional):
Sc  0.0000  0.0000  0.0000 (multiplicity 1)  12 S 3.53
S  0.0000  0.5000  0.5000 (multiplicity 3)  2 I 2.50
I  0.5000  0.5000  0.5000 (multiplicity 1)  6 S 2.50

***

Record 2
The following is a GGA-PBEsol calculation of La3In after structural relaxation, from the Alexandria database.

## Properties
Energy above the most stable polymorph in this dataset = 0.283 eV/f.u.
E = -20.045 eV/cell

Cell lengths 3.6063, 5.6426, 5.9861 Å; angles 90.00, 90.00, 90.00 degrees
With the nearest neighbours (Å) after each atom.
Space group Pmm2 (No. 25)
Symmetry-distinct sites (fractional):
La  0.0000  0.0000  0.0000 (multiplicity 1)  4 In 3.43-3.56, 8 La 3.47-3.72
La  0.0000  0.5000  0.4043 (multiplicity 1)  2 La 3.21, 4 In 3.41
La  0.5000  0.5000  0.8488 (multiplicity 1)  6 La 3.21-3.47, 2 In 3.47
In  0.5000  0.0000  0.5124 (multiplicity 1)  10 La 3.41-3.56, 2 In 3.61

***

Record 3
The following is a GGA-PBEsol calculation of Zr2ScAs2 after structural relaxation, from the Alexandria database.

## Properties
E = -81.340 eV/cell

Cell lengths 7.2312, 7.2312, 3.6028 Å; angles 90.00, 90.00, 90.00 degrees
With the nearest neighbours (Å) after each atom.
Space group P4/mbm (No. 127)
Symmetry-distinct sites (fractional):
Zr  0.1549  0.3451  0.0000 (multiplicity 4)  6 As 2.73-2.81
Sc  0.0000  0.0000  0.5000 (multiplicity 2)  4 As 2.78
As  0.1439  0.6439  0.5000 (multiplicity 4)  6 Zr 2.73-2.81, 2 Sc 2.78, 1 As 2.94

***

Record 4
The following is a GGA-PBEsol calculation of Rh2PbW after structural relaxation, from the Alexandria database.

## Properties
E = -32.560 eV/cell

Cell lengths 4.7791, 4.7791, 2.8472 Å; angles 90.00, 90.00, 90.00 degrees
With the nearest neighbours (Å) after each atom.
Space group P4/mmm (No. 123)
Symmetry-distinct sites (fractional):
Rh  0.0000  0.5000  0.0000 (multiplicity 2)  4 W 2.78, 4 Pb 2.78, 2 Rh 2.85
Pb  0.0000  0.0000  0.5000 (multiplicity 1)  8 Rh 2.78, 2 Pb 2.85
W  0.5000  0.5000  0.5000 (multiplicity 1)  8 Rh 2.78, 2 W 2.85

***

Record 5
The following is a GGA-PBEsol calculation of Tb2MgCu2 after structural relaxation, from the Alexandria database.

## Properties
E = -43.034 eV/cell

Cell lengths 7.5799, 7.5799, 3.5865 Å; angles 90.00, 90.00, 90.00 degrees
With the nearest neighbours (Å) after each atom.
Space group P4/mbm (No. 127)
Symmetry-distinct sites (fractional):
Tb  0.1692  0.3308  0.0000 (multiplicity 4)  6 Cu 2.86-2.87
Mg  0.0000  0.0000  0.5000 (multiplicity 2)  4 Cu 3.01, 8 Tb 3.34
Cu  0.1224  0.6224  0.5000 (multiplicity 4)  1 Cu 2.62, 6 Tb 2.86-2.87

***

Record 6
The following is a GGA-PBEsol calculation of Ca2BN2Cl after structural relaxation, from the Alexandria database.

## Properties
Formation energy without anion corrections = -1586 meV per atom
E = -159.445 eV/cell

Cell lengths 11.5460, 3.8615, 8.9571 Å; angles 90.00, 90.00, 90.00 degrees
With the nearest neighbours (Å) after each atom.
Space group Pnma (No. 62)
Symmetry-distinct sites (fractional):
Ca  0.0892  0.2500  0.1098 (multiplicity 4)  4 N 2.37-2.52
Ca  0.1700  0.2500  0.5493 (multiplicity 4)  3 N 2.32-2.53
B  0.1653  0.7500  0.8184 (multiplicity 4)  2 N 1.34-1.35
N  0.1223  0.7500  0.9588 (multiplicity 4)  1 B 1.35
N  0.2132  0.7500  0.6824 (multiplicity 4)  1 B 1.34
Cl  0.0612  0.7500  0.3474 (multiplicity 4)  5 Ca 2.83-2.93

***

Copy entry 5 word for word.
The following is a GGA-PBEsol calculation of Tb2MgCu2 after structural relaxation, from the Alexandria database.

## Properties
E = -43.034 eV/cell

Cell lengths 7.5799, 7.5799, 3.5865 Å; angles 90.00, 90.00, 90.00 degrees
With the nearest neighbours (Å) after each atom.
Space group P4/mbm (No. 127)
Symmetry-distinct sites (fractional):
Tb  0.1692  0.3308  0.0000 (multiplicity 4)  6 Cu 2.86-2.87
Mg  0.0000  0.0000  0.5000 (multiplicity 2)  4 Cu 3.01, 8 Tb 3.34
Cu  0.1224  0.6224  0.5000 (multiplicity 4)  1 Cu 2.62, 6 Tb 2.86-2.87